## BeCd2As (PBE)

Data for an optimized crystal structure of BeCd2As.

Summary:
- Crystal system: monoclinic
- Fermi-level density of states: 0.85 states/eV/f.u.
- DFT formation energy: 0.143 eV per atom
- Energy above the lowest structure with this stoichiometry: 0.000 eV per atom

Cell and atoms, written as CIF:
```
data_BeCd2As
_space_group_name_H-M_alt 'P 1 m 1'
_space_group_IT_number 6
_space_group_name_Hall 'P -2y'
_cell_length_a 4.179
_cell_length_b 3.737
_cell_length_c 5.343
_cell_angle_alpha 90.00
_cell_angle_beta 109.62
_cell_angle_gamma 90.00
loop_
_atom_site_label
_atom_site_fract_x
_atom_site_fract_y
_atom_site_fract_z
Be1 0.000 0.000 0.000
Cd1 0.441 0.500 0.829
Cd2 0.765 0.000 0.500
As1 0.132 0.500 0.239
```

=====

## PuSiSb2 (PBE)

Data for an optimized crystal structure of PuSiSb2.

Summary:
- Crystal system: tetragonal
- Fermi-level density of states: 6.72 states/eV/f.u.
- Raw formation energy: -0.2184 eV per atom
- Energy above the lowest structure with this stoichiometry: 0.000 eV per atom

Cell and atoms, written as CIF:
```
data_PuSiSb2
_space_group_name_H-M_alt 'P 4/m m m'
_space_group_IT_number 123
_space_group_name_Hall '-P 4 2'
_cell_length_a 4.504
_cell_length_b 4.504
_cell_length_c 4.533
_cell_angle_alpha 90.00
_cell_angle_beta 90.00
_cell_angle_gamma 90.00
loop_
_atom_site_label
_atom_site_fract_x
_atom_site_fract_y
_atom_site_fract_z
Pu1 0.000 0.000 0.000
Si1 0.500 0.500 0.000
Sb1 0.000 0.500 0.500
```

=====

## Nb8VS2 (PBE)

Data for an optimized crystal structure of Nb8VS2.

Summary:
- Crystal system: monoclinic
- Fermi-level density of states: 10.78 states/eV/f.u.
- Raw formation energy: 0.1080 eV per atom

Cell and atoms, written as CIF:
```
data_Nb8VS2
_space_group_name_H-M_alt 'C 1 2/m 1'
_space_group_IT_number 12
_space_group_name_Hall '-C 2y'
_cell_length_a 11.128
_cell_length_b 7.789
_cell_length_c 4.841
_cell_angle_alpha 90.00
_cell_angle_beta 90.70
_cell_angle_gamma 90.00
loop_
_atom_site_label
_atom_site_fract_x
_atom_site_fract_y
_atom_site_fract_z
Nb1 0.090 0.206 0.261
Nb2 0.113 0.000 0.758
Nb3 0.197 0.500 0.781
V1 0.000 0.500 0.000
S1 0.164 0.500 0.293
```

=====

## InIrAu2 (PBE)

Data for an optimized crystal structure of InIrAu2.

Summary:
- Crystal system: tetragonal
- Fermi-level density of states: 1.67 states/eV/f.u.
- DFT formation energy: 0.107 eV per atom

Cell and atoms, written as CIF:
```
data_InIrAu2
_space_group_name_H-M_alt 'P 4 m m'
_space_group_IT_number 99
_space_group_name_Hall 'P 4 -2'
_cell_length_a 3.075
_cell_length_b 3.075
_cell_length_c 7.565
_cell_angle_alpha 90.00
_cell_angle_beta 90.00
_cell_angle_gamma 90.00
loop_
_atom_site_label
_atom_site_fract_x
_atom_site_fract_y
_atom_site_fract_z
In1 0.000 0.000 0.000
Ir1 0.500 0.500 0.226
Au1 0.000 0.000 0.470
Au2 0.500 0.500 0.728
```

=====

## Sm2TlRu (PBE)

Data for an optimized crystal structure of Sm2TlRu.

Summary:
- Crystal system: cubic
- Fermi-level density of states: 2.29 states/eV/f.u.
- DFT formation energy: -0.185 eV per atom
- Energy above the lowest structure with this stoichiometry: 0.134 eV per atom

Cell and atoms, written as CIF:
```
data_Sm2TlRu
_space_group_name_H-M_alt 'F m -3 m'
_space_group_IT_number 225
_space_group_name_Hall '-F 4 2 3'
_cell_length_a 7.337
_cell_length_b 7.337
_cell_length_c 7.337
_cell_angle_alpha 90.00
_cell_angle_beta 90.00
_cell_angle_gamma 90.00
loop_
_atom_site_label
_atom_site_fract_x
_atom_site_fract_y
_atom_site_fract_z
Sm1 0.250 0.250 0.250
Tl1 0.000 0.000 0.000
Ru1 0.000 0.000 0.500
```

=====

## RbTl2TeSe (PBE)

Data for an optimized crystal structure of RbTl2TeSe.

Summary:
- Crystal system: monoclinic
- Fermi-level density of states: 1.00 states/eV/f.u.
- Raw formation energy: -0.5404 eV per atom

Cell and atoms, written as CIF:
```
data_RbTl2TeSe
_space_group_name_H-M_alt 'P 1 21/m 1'
_space_group_IT_number 11
_space_group_name_Hall '-P 2yb'
_cell_length_a 8.015
_cell_length_b 5.511
_cell_length_c 8.766
_cell_angle_alpha 90.00
_cell_angle_beta 90.63
_cell_angle_gamma 90.00
loop_
_atom_site_label
_atom_site_fract_x
_atom_site_fract_y
_atom_site_fract_z
Rb1 0.001 0.250 0.289
Tl1 0.330 0.250 0.931
Tl2 0.491 0.750 0.663
Te1 0.272 0.750 0.069
Se1 0.272 0.250 0.611
```

=====

## NaRe2F2 (PBE)

Data for an optimized crystal structure of NaRe2F2.

Summary:
- Crystal system: tetragonal
- Fermi-level density of states: 3.14 states/eV/f.u.
- Raw formation energy: -0.0778 eV per atom
- Energy above the lowest structure with this stoichiometry: 0.115 eV per atom

Cell and atoms, written as CIF:
```
data_NaRe2F2
_space_group_name_H-M_alt 'P 4/m b m'
_space_group_IT_number 127
_space_group_name_Hall '-P 4 2ab'
_cell_length_a 8.280
_cell_length_b 8.280
_cell_length_c 2.614
_cell_angle_alpha 90.00
_cell_angle_beta 90.00
_cell_angle_gamma 90.00
loop_
_atom_site_label
_atom_site_fract_x
_atom_site_fract_y
_atom_site_fract_z
Na1 0.000 0.000 0.000
Re1 0.100 0.400 0.500
F1 0.243 0.257 0.000
```

=====

## Rb2MnGeS4 (PBE)

Data for an optimized crystal structure of Rb2MnGeS4.

Summary:
- Crystal system: orthorhombic
- Raw formation energy: -0.8384 eV per atom

Cell and atoms, written as CIF:
```
data_Rb2MnGeS4
_space_group_name_H-M_alt 'F d d d'
_space_group_IT_number 70
_cell_length_a 5.911
_cell_length_b 13.720
_cell_length_c 24.147
_cell_angle_alpha 90.00
_cell_angle_beta 90.00
_cell_angle_gamma 90.00
loop_
_space_group_symop_operation_xyz
'x,y,z'
'-x,-y,-z'
'-x+1/4,-y+1/4,z'
'x+1/4,y+1/4,-z'
'x,-y+1/4,-z+1/4'
'-x,y+1/4,z+1/4'
'-x+1/4,y,-z+1/4'
'x+1/4,-y,z+1/4'
'x,y+1/2,z+1/2'
'-x,-y+1/2,-z+1/2'
'-x+1/4,-y+3/4,z+1/2'
'x+1/4,y+3/4,-z+1/2'
'x,-y+3/4,-z+3/4'
'-x,y+3/4,z+3/4'
'-x+1/4,y+1/2,-z+3/4'
'x+1/4,-y+1/2,z+3/4'
'x+1/2,y,z+1/2'
'-x+1/2,-y,-z+1/2'
'-x+3/4,-y+1/4,z+1/2'
'x+3/4,y+1/4,-z+1/2'
'x+1/2,-y+1/4,-z+3/4'
'-x+1/2,y+1/4,z+3/4'
'-x+3/4,y,-z+3/4'
'x+3/4,-y,z+3/4'
'x+1/2,y+1/2,z'
'-x+1/2,-y+1/2,-z'
'-x+3/4,-y+3/4,z'
'x+3/4,y+3/4,-z'
'x+1/2,-y+3/4,-z+1/4'
'-x+1/2,y+3/4,z+1/4'
'-x+3/4,y+1/2,-z+1/4'
'x+3/4,-y+1/2,z+1/4'
loop_
_atom_site_label
_atom_site_fract_x
_atom_site_fract_y
_atom_site_fract_z
Rb1 0.125 0.125 0.305
Mn1 0.125 0.125 0.125
Ge1 0.125 0.125 0.625
S1 0.104 0.280 0.824
```

=====

## TcPAu2 (PBE)

Data for an optimized crystal structure of TcPAu2.

Summary:
- Crystal system: monoclinic
- Fermi-level density of states: 3.06 states/eV/f.u.
- DFT formation energy: 0.406 eV per atom

Cell and atoms, written as CIF:
```
data_TcPAu2
_space_group_name_H-M_alt 'C 1 2/m 1'
_space_group_IT_number 12
_space_group_name_Hall '-C 2y'
_cell_length_a 5.249
_cell_length_b 10.261
_cell_length_c 3.079
_cell_angle_alpha 90.00
_cell_angle_beta 125.79
_cell_angle_gamma 90.00
loop_
_atom_site_label
_atom_site_fract_x
_atom_site_fract_y
_atom_site_fract_z
Tc1 0.000 0.000 0.000
P1 0.000 0.500 0.000
Au1 0.250 0.250 0.500
```

=====

## VReSe4 (PBE)

Data for an optimized crystal structure of VReSe4.

Summary:
- Crystal system: monoclinic
- Fermi-level density of states: 1.27 states/eV/f.u.
- Raw formation energy: -0.5250 eV per atom
- Energy above the lowest structure with this stoichiometry: 0.000 eV per atom

Cell and atoms, written as CIF:
```
data_VReSe4
_space_group_name_H-M_alt 'C 1 m 1'
_space_group_IT_number 8
_space_group_name_Hall 'C -2y'
_cell_length_a 14.555
_cell_length_b 3.252
_cell_length_c 5.861
_cell_angle_alpha 90.00
_cell_angle_beta 100.66
_cell_angle_gamma 90.00
loop_
_atom_site_label
_atom_site_fract_x
_atom_site_fract_y
_atom_site_fract_z
V1 0.000 0.000 0.000
Re1 0.489 0.000 0.614
Se1 0.090 0.000 0.422
Se2 0.122 0.500 0.951
Se3 0.366 0.500 0.673
Se4 0.399 0.000 0.184
```

=====

## KEr4Te6 (PBE)

Data for an optimized crystal structure of KEr4Te6.

Summary:
- Crystal system: orthorhombic
- Fermi-level density of states: 2.53 states/eV/f.u.
- Raw formation energy: -1.3102 eV per atom

Cell and atoms, written as CIF:
```
data_KEr4Te6
_space_group_name_H-M_alt 'C m c m'
_space_group_IT_number 63
_space_group_name_Hall '-C 2c 2'
_cell_length_a 4.392
_cell_length_b 14.482
_cell_length_c 22.999
_cell_angle_alpha 90.00
_cell_angle_beta 90.00
_cell_angle_gamma 90.00
loop_
_atom_site_label
_atom_site_fract_x
_atom_site_fract_y
_atom_site_fract_z
K1 0.000 0.161 0.250
Er1 0.000 0.092 0.631
Er2 0.000 0.365 0.540
Te1 0.000 0.000 0.000
Te2 0.000 0.156 0.750
Te3 0.000 0.272 0.082
Te4 0.000 0.456 0.655
```

=====

## HfTeN (PBE)

Data for an optimized crystal structure of HfTeN.

Summary:
- Crystal system: orthorhombic
- Fermi-level density of states: 0.61 states/eV/f.u.
- Raw formation energy: -1.1617 eV per atom
- Energy above the lowest structure with this stoichiometry: 0.000 eV per atom

Cell and atoms, written as CIF:
```
data_HfTeN
_space_group_name_H-M_alt 'P m m n'
_space_group_IT_number 59
_cell_length_a 3.388
_cell_length_b 4.155
_cell_length_c 10.696
_cell_angle_alpha 90.00
_cell_angle_beta 90.00
_cell_angle_gamma 90.00
loop_
_space_group_symop_operation_xyz
'x,y,z'
'-x,-y,-z'
'-x+1/2,-y+1/2,z'
'x+1/2,y+1/2,-z'
'x+1/2,-y,-z'
'-x+1/2,y,z'
'-x,y+1/2,-z'
'x,-y+1/2,z'
loop_
_atom_site_label
_atom_site_fract_x
_atom_site_fract_y
_atom_site_fract_z
Hf1 0.250 0.250 0.082
Te1 0.250 0.750 0.682
N1 0.250 0.750 0.032
```

=====

So what do the calculations give for uncorrected energy? Going down the list: -2.41, -7.22, -8.79, -4.43, -5.46, -3.01, -6.07, -4.87, -5.18, -6.44, -4.78, -8.30 eV per atom.
So what do the calculations give for total magnetization? Going down the list: 0.00, 5.01, 0.00, 0.00, 0.00, 0.00, 0.00, 40.00, 1.57, 0.00, 0.00, 0.00 μB/cell.